Compound: Pr3In4Hg4
Source: Alexandria
Functional: PBE-GGA
Structure: optimized geometry

```
Pr3In4Hg4
1.0
3.837 0.000 0.000
-0.002 5.012 0.000
-1.918 -2.398 15.295
Pr In Hg
3 4 4
direct
0.000 0.000 0.000 Pr
0.141 0.636 0.282 Pr
0.859 0.364 0.718 Pr
0.261 0.264 0.522 In
0.409 0.912 0.816 In
0.591 0.088 0.184 In
0.739 0.736 0.478 In
0.318 0.819 0.631 Hg
0.448 0.455 0.906 Hg
0.552 0.545 0.094 Hg
0.682 0.181 0.369 Hg
```

Computed properties:
Total energy   -0.102 Ha/atom
Crystal system   triclinic
Energy relative to the elements   -0.37 eV/atom
Space-group type   P-1 (2)
Total moment   0.00 μB/cell